Entry from Alexandria: a relaxed VMo crystal (GGA-PBE).

Cell: 6.8570 6.8570 4.7307 Å, 90.00 90.00 120.00°
Last column: nearest neighbours and their distance in Å.
Space group P6_3/m (No. 176)
Asymmetric unit:
V: 0.0993 0.5982 0.2500 [6 per cell]  4 V 2.47-2.73, 2 Mo 2.50-2.52
Mo: 0.0847 0.8214 0.7500 [6 per cell]  2 V 2.50-2.52, 2 Mo 2.77

Summary:
raw total energy: -9.3871 eV per atom
formation energy from the elements: 113 kJ/mol of formula units